# 1
This record from Alexandria via LeMat-Bulk describes a relaxed BaVP2Se8 crystal. The functional is PBE-GGA.

Lattice parameters (Å, degrees): 6.281 6.281 9.064 90.00 90.00 120.00
Element x y z (fractional)
Ba 0.000 0.000 0.000
V 0.000 0.000 0.500
P 0.333 0.667 0.728
P 0.667 0.333 0.272
Se 0.017 0.686 0.337
Se 0.314 0.331 0.337
Se 0.331 0.017 0.663
Se 0.333 0.667 0.969
Se 0.667 0.333 0.031
Se 0.669 0.983 0.337
Se 0.686 0.669 0.663
Se 0.983 0.314 0.663

Values from the calculation:
As for the space group: No. 147. The value obtained for the formation energy from raw total energies is -6.036 eV/f.u. The crystal system is trigonal.

---

# 2
This record from Alexandria via LeMat-Bulk describes a relaxed HfScPa2 crystal. The functional is PBE-GGA.

Lattice parameters (Å, degrees): 4.424 4.424 4.919 90.00 90.00 90.00
Element x y z (fractional)
Hf 0.000 0.000 0.000
Sc 0.500 0.500 0.000
Pa 0.000 0.500 0.500
Pa 0.500 0.000 0.500

Values from the calculation:
As for the space group: No. 123. The crystal system is tetragonal. As for the energy above the lowest structure with this stoichiometry: 0.24 eV per formula unit. For the formation energy, the calculation gives 139 meV/atom.

---

# 3
This record from Alexandria via LeMat-Bulk describes a relaxed LiPr2Se4 crystal. The functional is PBE-GGA.

Lattice parameters (Å, degrees): 7.282 5.780 8.583 90.00 107.24 90.00
Element x y z (fractional)
Li 0.228 0.250 0.182
Li 0.772 0.750 0.818
Pr 0.230 0.750 0.436
Pr 0.243 0.750 0.933
Pr 0.757 0.250 0.067
Pr 0.770 0.250 0.564
Se 0.066 0.250 0.891
Se 0.069 0.250 0.393
Se 0.488 0.008 0.745
Se 0.488 0.492 0.745
Se 0.512 0.508 0.255
Se 0.512 0.992 0.255
Se 0.931 0.750 0.607
Se 0.934 0.750 0.109

Values from the calculation:
As for the space group: No. 11. The value obtained for the formation energy from raw total energies is -11.157 eV/f.u. The crystal system is monoclinic.

---

# 4
This record from Alexandria via LeMat-Bulk describes a relaxed Tb2Dy5Y12 crystal. The functional is PBE-GGA.

Lattice parameters (Å, degrees): 9.051 9.051 8.617 91.66 91.66 62.01
Element x y z (fractional)
Tb 0.172 0.828 0.000
Tb 0.828 0.172 0.000
Dy 0.204 0.204 0.021
Dy 0.270 0.270 0.428
Dy 0.500 0.500 0.500
Dy 0.730 0.730 0.572
Dy 0.796 0.796 0.979
Y 0.058 0.058 0.334
Y 0.062 0.679 0.334
Y 0.171 0.530 0.762
Y 0.321 0.938 0.666
Y 0.424 0.424 0.127
Y 0.470 0.829 0.238
Y 0.530 0.171 0.762
Y 0.576 0.576 0.873
Y 0.679 0.062 0.334
Y 0.829 0.470 0.238
Y 0.938 0.321 0.666
Y 0.942 0.942 0.666

Values from the calculation:
As for the space group: No. 12. The crystal system is monoclinic. For the formation energy, the calculation gives 125 meV/atom.

---

# 5
This record from Alexandria via LeMat-Bulk describes a relaxed PrNbGa2 crystal. The functional is PBE-GGA.

Lattice parameters (Å, degrees): 9.919 9.919 9.919 18.37 18.37 18.37
Element x y z (fractional)
Pr 0.000 0.000 0.000
Nb 0.500 0.500 0.500
Ga 0.241 0.241 0.241
Ga 0.759 0.759 0.759

Values from the calculation:
As for the space group: No. 166. The crystal system is trigonal. For the formation energy, the calculation gives -39 meV/atom.

---

# 6
This record from Alexandria via LeMat-Bulk describes a relaxed ZrReRh2 crystal. The functional is PBE-GGA.

Lattice parameters (Å, degrees): 9.374 9.374 9.374 17.39 17.39 17.39
Element x y z (fractional)
Zr 0.000 0.000 0.000
Re 0.500 0.500 0.500
Rh 0.244 0.244 0.244
Rh 0.756 0.756 0.756

Values from the calculation:
As for the space group: No. 166. The crystal system is trigonal. As for the energy above the lowest structure with this stoichiometry: 1.22 eV per formula unit. For the formation energy, the calculation gives -37 meV/atom.

---

# 7
This record from Alexandria via LeMat-Bulk describes a relaxed Mn3Tl6Br14 crystal. The functional is PBE-GGA.

Lattice parameters (Å, degrees): 11.726 11.726 7.125 90.00 90.00 120.00
Element x y z (fractional)
Mn 0.000 0.000 0.000
Mn 0.333 0.667 0.511
Mn 0.667 0.333 0.356
Tl 0.050 0.578 0.095
Tl 0.280 0.081 0.574
Tl 0.422 0.472 0.095
Tl 0.528 0.950 0.095
Tl 0.801 0.720 0.574
Tl 0.919 0.199 0.574
Br 0.000 0.000 0.352
Br 0.068 0.845 0.870
Br 0.155 0.223 0.870
Br 0.191 0.442 0.373
Br 0.250 0.809 0.373
Br 0.333 0.667 0.861
Br 0.470 0.209 0.157
Br 0.539 0.402 0.552
Br 0.558 0.750 0.373
Br 0.598 0.137 0.552
Br 0.739 0.530 0.157
Br 0.777 0.932 0.870
Br 0.791 0.261 0.157
Br 0.863 0.461 0.552

Values from the calculation:
As for the space group: No. 143. The value obtained for the formation energy from raw total energies is -18.142 eV/f.u. The crystal system is trigonal.

---

# 8
This record from Alexandria via LeMat-Bulk describes a relaxed KHgSe crystal. The functional is PBE-GGA.

Lattice parameters (Å, degrees): 5.576 5.576 3.114 90.00 90.00 120.00
Element x y z (fractional)
K 0.000 0.000 0.000
Hg 0.333 0.667 0.502
Se 0.667 0.333 0.501

Values from the calculation:
As for the space group: No. 156. The value obtained for the formation energy from raw total energies is -1.301 eV/f.u. The crystal system is trigonal. As for the energy above the lowest structure with this stoichiometry: 0.34 eV per formula unit.

---

# 9
This record from Alexandria via LeMat-Bulk describes a relaxed Cd2BiRuO6 crystal. The functional is PBE-GGA.

Lattice parameters (Å, degrees): 5.795 5.795 4.907 90.00 90.00 90.00
Element x y z (fractional)
Cd 0.000 0.500 0.000
Cd 0.500 0.000 0.000
Bi 0.000 0.000 0.629
Ru 0.500 0.500 0.652
O 0.000 0.000 0.199
O 0.273 0.273 0.778
O 0.273 0.727 0.778
O 0.500 0.500 0.295
O 0.727 0.273 0.778
O 0.727 0.727 0.778

Values from the calculation:
As for the space group: No. 99. The value obtained for the formation energy from raw total energies is -7.987 eV/f.u. The crystal system is tetragonal.

---

# 10
This record from Alexandria via LeMat-Bulk describes a relaxed Tm3ScHg6 crystal. The functional is PBE-GGA.

Lattice parameters (Å, degrees): 8.919 5.089 10.953 90.00 107.52 90.00
Element x y z (fractional)
Tm 0.024 0.250 0.389
Tm 0.148 0.750 0.209
Tm 0.272 0.250 0.993
Tm 0.728 0.750 0.007
Tm 0.852 0.250 0.791
Tm 0.976 0.750 0.611
Sc 0.442 0.250 0.599
Sc 0.558 0.750 0.401
Hg 0.031 0.750 0.911
Hg 0.159 0.250 0.695
Hg 0.264 0.750 0.501
Hg 0.351 0.250 0.312
Hg 0.352 0.750 0.817
Hg 0.440 0.750 0.119
Hg 0.560 0.250 0.881
Hg 0.648 0.250 0.183
Hg 0.649 0.750 0.688
Hg 0.736 0.250 0.499
Hg 0.841 0.750 0.305
Hg 0.969 0.250 0.089

Values from the calculation:
As for the space group: No. 11. The crystal system is monoclinic. For the formation energy, the calculation gives -387 meV/atom.

---

# 11
This record from Alexandria via LeMat-Bulk describes a relaxed Fe3HRh crystal. The functional is PBE-GGA.

Lattice parameters (Å, degrees): 3.611 3.611 3.611 90.00 90.00 90.00
Element x y z (fractional)
Fe 0.000 0.000 0.500
Fe 0.000 0.500 0.000
Fe 0.500 0.000 0.000
H 0.000 0.000 0.000
Rh 0.500 0.500 0.500

Values from the calculation:
As for the space group: No. 221. The crystal system is cubic. As for the energy above the lowest structure with this stoichiometry: 0.50 eV per formula unit.

---

# 12
This record from Alexandria via LeMat-Bulk describes a relaxed Pm2GdRh crystal. The functional is PBE-GGA.

Lattice parameters (Å, degrees): 10.805 10.805 10.805 19.95 19.95 19.95
Element x y z (fractional)
Pm 0.111 0.111 0.111
Pm 0.889 0.889 0.889
Gd 0.000 0.000 0.000
Rh 0.500 0.500 0.500

Values from the calculation:
As for the space group: No. 166. The crystal system is trigonal. As for the energy above the lowest structure with this stoichiometry: 0.76 eV per formula unit. For the formation energy, the calculation gives -114 meV/atom.

---

# 13
This record from Alexandria via LeMat-Bulk describes a relaxed SrMn2AuI crystal. The functional is PBE-GGA.

Lattice parameters (Å, degrees): 6.453 6.453 5.656 90.00 90.00 90.00
Element x y z (fractional)
Sr 0.000 0.000 0.000
Mn 0.000 0.500 0.000
Mn 0.500 0.000 0.000
Au 0.000 0.000 0.500
I 0.500 0.500 0.500

Values from the calculation:
As for the space group: No. 123. The value obtained for the formation energy from raw total energies is 5.662 eV/f.u. The crystal system is tetragonal.

---

# 14
This record from Alexandria via LeMat-Bulk describes a relaxed Sm2Ge3Au5 crystal. The functional is PBE-GGA.

Lattice parameters (Å, degrees): 8.821 8.821 8.821 101.22 92.79 139.17
Element x y z (fractional)
Sm 0.134 0.233 0.367
Sm 0.366 0.733 0.100
Sm 0.634 0.267 0.900
Sm 0.866 0.767 0.633
Ge 0.130 0.870 0.000
Ge 0.250 0.750 0.500
Ge 0.370 0.370 0.740
Ge 0.630 0.630 0.260
Ge 0.750 0.250 0.500
Ge 0.870 0.130 0.000
Au 0.006 0.750 0.256
Au 0.105 0.651 0.756
Au 0.250 0.250 0.000
Au 0.395 0.151 0.546
Au 0.494 0.750 0.744
Au 0.506 0.250 0.256
Au 0.605 0.849 0.454
Au 0.750 0.750 0.000
Au 0.895 0.349 0.244
Au 0.994 0.250 0.744

Values from the calculation:
As for the space group: No. 72. The crystal system is orthorhombic. As for the energy above the lowest structure with this stoichiometry: 0.19 eV per formula unit. For the formation energy, the calculation gives -516 meV/atom.

---

# 15
This record from Alexandria via LeMat-Bulk describes a relaxed CsTl3O crystal. The functional is PBE-GGA.

Lattice parameters (Å, degrees): 5.501 5.501 5.501 90.00 90.00 90.00
Element x y z (fractional)
Cs 0.000 0.000 0.000
Tl 0.000 0.500 0.500
Tl 0.500 0.000 0.500
Tl 0.500 0.500 0.000
O 0.500 0.500 0.500

Values from the calculation:
As for the space group: No. 221. The value obtained for the formation energy from raw total energies is -0.649 eV/f.u. The crystal system is cubic. As for the energy above the lowest structure with this stoichiometry: 0.00 eV per formula unit.

---

# 16
This record from Alexandria via LeMat-Bulk describes a relaxed ScIn4Pb crystal. The functional is PBE-GGA.

Lattice parameters (Å, degrees): 6.061 6.061 6.061 60.00 60.00 60.00
Element x y z (fractional)
Sc 0.000 0.000 0.000
In 0.125 0.625 0.625
In 0.625 0.125 0.625
In 0.625 0.625 0.125
In 0.625 0.625 0.625
Pb 0.250 0.250 0.250

Values from the calculation:
As for the space group: No. 216. The crystal system is cubic. For the formation energy, the calculation gives 29 meV/atom.

---

Total magnetic moment (computed, μB/cell): 1.0; 0.0; 0.0; 0.0; 0.0; 0.0; 13.0; 0.0; 1.0; 0.0; 0.0; 8.2; 10.0; 0.0; 0.0; 0.0
Density of states at the Fermi level (computed, states/eV/atom): 0.430; 2.048; 0.146; 1.482; 0.901; 1.383; 0.029; 0.268; 0.275; 0.649; 1.394; 2.005; 0.013; 0.492; 0.587; 0.823